VASP calculation (PBE with a Hubbard U) on a relaxed structure of V2PdF.

Lattice parameters (Å, degrees): 5.5758 5.5758 5.5758 110.36 110.36 107.72
With the nearest neighbours (Å) after each atom.
Positions (direct):
V: 0.0632 0.1250 0.4382  2 F 2.16
V: 0.3750 0.9368 0.0618  2 F 2.16
V: 0.6868 0.6250 0.5618  2 F 2.16
V: 0.8750 0.3132 0.9382  2 F 2.16
Pd: 0.2500 0.7500 0.5000  4 V 2.67
Pd: 0.5000 0.5000 0.0000  4 V 2.67
F: 0.0000 0.0000 0.0000  4 V 2.16
F: 0.7500 0.2500 0.5000  4 V 2.16

E_tot in eV per cell: -45.605
Magnetization in μB per atom: 1.53